# MgTe2Br (meta-GGA SCAN, PBEsol geometry)
data_MgTe2Br
_symmetry_space_group_name_H-M 'R 3 m'
_symmetry_Int_Tables_number 160
_symmetry_space_group_name_Hall 'R 3 -2"'
_cell_length_a 3.7851
_cell_length_b 3.7851
_cell_length_c 27.2322
_cell_angle_alpha 90.00
_cell_angle_beta 90.00
_cell_angle_gamma 120.00
loop_
_atom_site_label
_atom_site_type_symbol
_atom_site_fract_x
_atom_site_fract_y
_atom_site_fract_z
_atom_site_occupancy
Mg1 Mg 0.0000 0.0000 0.0000 1
Te1 Te 0.0000 0.0000 0.2600 1
Te2 Te 0.0000 0.0000 0.5129 1
Br1 Br 0.0000 0.0000 0.7225 1
# final energy: -302.41 eV per cell
# theoretical density: 5.299 g/cm³